{"formula": "Al2CdCo2", "functional": "PBE-GGA", "state": "relaxed", "cell": [[-1.172, -3.430, -1.737], [3.699, -0.511, -1.487], [2.530, -4.426, 2.381]], "species": ["Al", "Al", "Co", "Co", "Cd"], "fractional_positions": [[0.632, 0.632, 0.735], [0.368, 0.368, 0.265], [0.250, 0.750, 0.500], [0.750, 0.250, 0.500], [0.000, 0.000, 0.000]], "ef_ev_per_atom": 0.11, "dos_at_fermi_per_ev_cell": 1.3, "spacegroup": "I4/mmm (139)", "vol_a3_per_cell": 78.4, "total_magnetization_mub_per_cell": 0.00, "e_above_lowest_polymorph_mev_per_atom": 340}

***

{"formula": "V2MoS6", "functional": "PBE-GGA", "state": "relaxed", "cell": [[4.223, 0.000, 0.000], [2.112, 5.760, -0.271], [2.112, 2.089, 7.052]], "species": ["S", "S", "S", "S", "S", "S", "V", "V", "Mo"], "fractional_positions": [[0.359, 0.660, 0.621], [0.701, 0.652, 0.945], [0.028, 0.169, 0.775], [0.641, 0.340, 0.379], [0.299, 0.348, 0.055], [0.972, 0.831, 0.225], [0.148, 0.788, 0.917], [0.852, 0.212, 0.083], [0.000, 0.500, 0.500]], "dos_at_fermi_per_ev_cell": 4.3, "spacegroup": "C2/m (12)", "vol_a3_per_cell": 173.9, "total_magnetization_mub_per_cell": 1.93, "e_above_lowest_polymorph_mev_per_atom": 329}

***

{"formula": "BaAlZn4", "functional": "PBE-GGA", "state": "relaxed", "cell": [[-0.990, -6.772, -5.979], [-0.857, -2.709, 8.633], [-6.460, 6.353, -0.703]], "species": ["Al", "Al", "Al", "Al", "Zn", "Zn", "Zn", "Zn", "Zn", "Zn", "Zn", "Zn", "Zn", "Zn", "Zn", "Zn", "Zn", "Zn", "Zn", "Zn", "Ba", "Ba", "Ba", "Ba"], "fractional_positions": [[0.801, 0.500, 0.301], [0.199, 0.699, 0.500], [0.801, 0.301, 0.500], [0.199, 0.500, 0.699], [0.403, 0.541, 0.541], [0.816, 0.697, 0.119], [0.000, 0.138, 0.541], [0.421, 0.303, 0.119], [0.421, 0.119, 0.303], [0.403, 0.862, 0.862], [0.184, 0.881, 0.303], [0.579, 0.697, 0.881], [0.000, 0.862, 0.459], [0.579, 0.881, 0.697], [0.597, 0.138, 0.138], [0.184, 0.303, 0.881], [0.000, 0.541, 0.138], [0.816, 0.119, 0.697], [0.597, 0.459, 0.459], [0.000, 0.459, 0.862], [0.000, 0.823, 0.823], [0.500, 0.250, 0.750], [0.000, 0.177, 0.177], [0.500, 0.750, 0.250]], "ef_ev_per_atom": -0.08, "dos_at_fermi_per_ev_cell": 11.4, "spacegroup": "I4/mmm (139)", "vol_a3_per_cell": 571.3, "total_magnetization_mub_per_cell": 0.00, "e_above_lowest_polymorph_mev_per_atom": 0}